(1)
# CaHo2Pt

A relaxed CaHo2Pt crystal (PBE, the Alexandria database).

abc: 4.1026 4.1026 27.2958
angles: 90.00 90.00 120.00
Space group R3m (No. 160, hexagonal axes)
One atom of each set of equivalent atoms:
Ca 0.0000 0.0000 0.0000 x3
Ho 0.0000 0.0000 0.5519 x3
Ho 0.0000 0.0000 0.7785 x3
Pt 0.0000 0.0000 0.1650 x3

Computed properties:
As for the total energy: -4.88 eV per atom. As for the formation energy: -0.583 eV per atom.

(2)
# CrSiNi2

A relaxed CrSiNi2 crystal (PBE, the Alexandria database).

abc: 8.321 2.534 4.389
angles: 90.00 103.68 90.00
Space group Cm (No. 8)
One atom of each set of equivalent atoms:
Cr 0.000 0.000 0.000 x2
Si 0.242 0.500 0.275 x2
Ni 0.241 0.000 0.762 x2
Ni 0.477 0.000 0.497 x2

Computed properties:
As for the total energy: -6.84 eV per atom.

(3)
# Sm2Ho5Tm12

A relaxed Sm2Ho5Tm12 crystal (PBE, the Alexandria database).

abc: 15.616 9.128 8.403
angles: 90.00 91.23 90.00
Space group C2/m (No. 12)
One atom of each set of equivalent atoms:
Sm 0.000 0.184 0.000 x4
Ho 0.000 0.500 0.500 x2
Ho 0.198 0.000 0.008 x4
Ho 0.233 0.500 0.577 x4
Tm 0.056 0.000 0.329 x4
Tm 0.093 0.500 0.883 x4
Tm 0.127 0.192 0.653 x8
Tm 0.156 0.319 0.246 x8

Computed properties:
As for the total energy: -4.39 eV per atom. As for the formation energy: 0.132 eV per atom.

(4)
# SiSbAs

A relaxed SiSbAs crystal (PBE, the Alexandria database).

abc: 6.645 6.645 6.645
angles: 90.00 90.00 90.00
Space group F-43m (No. 216)
One atom of each set of equivalent atoms:
Si 0.000 0.000 0.000 x4
Sb 0.000 0.000 0.500 x4
As 0.250 0.250 0.250 x4

Computed properties:
As for the total energy: -4.11 eV per atom.

(5)
# ZrZnGe

A relaxed ZrZnGe crystal (PBE, the Alexandria database).

abc: 4.0959 4.0959 3.6498
angles: 90.00 90.00 120.00
Space group P3m1 (No. 156)
One atom of each set of equivalent atoms:
Zr 0.0000 0.0000 0.0000 x1
Zn 0.3333 0.6667 0.5009 x1
Ge 0.6667 0.3333 0.4995 x1

Computed properties:
As for the total energy: -5.26 eV per atom. As for the formation energy: -0.443 eV per atom.

(6)
# Na3Pd4Pb2

A relaxed Na3Pd4Pb2 crystal (PBE, the Alexandria database).

abc: 10.165 4.662 8.926
angles: 90.00 98.24 90.00
Space group C2/m (No. 12)
One atom of each set of equivalent atoms:
Na 0.000 0.000 0.000 x2
Na 0.130 0.500 0.397 x4
Pd 0.077 0.000 0.639 x4
Pd 0.228 0.500 0.085 x4
Pb 0.184 0.500 0.767 x4

Computed properties:
As for the total energy: -3.76 eV per atom. As for the formation energy: -0.190 eV per atom.